Record 1
The following is a PBE-GGA calculation of crystalline Ho3Ni2Sn4 at its relaxed geometry, from the Alexandria database.

Cell and atoms, written as CIF:
```
data_Ho3Ni2Sn4
_cell_length_a 6.046
_cell_length_b 6.046
_cell_length_c 8.502
_cell_angle_alpha 103.45
_cell_angle_beta 103.45
_cell_angle_gamma 42.74
_space_group_name_H-M_alt 'P 1'
_space_group_IT_number 1
loop_
_space_group_symop_operation_xyz
'x,y,z'
loop_
_atom_site_label
_atom_site_type_symbol
_atom_site_fract_x
_atom_site_fract_y
_atom_site_fract_z
_atom_site_occupancy
Ho1 Ho 0.000 0.000 0.000 1
Ho2 Ho 0.371 0.371 0.313 1
Ho3 Ho 0.629 0.629 0.687 1
Ni1 Ni 0.294 0.294 0.603 1
Ni2 Ni 0.706 0.706 0.397 1
Sn1 Sn 0.085 0.085 0.384 1
Sn2 Sn 0.298 0.298 0.912 1
Sn3 Sn 0.702 0.702 0.088 1
Sn4 Sn 0.915 0.915 0.616 1
```

As for the energy: -5.21 eV per atom.

Record 2
The following is a PBE-GGA calculation of crystalline CsTlPb3 at its relaxed geometry, from the Alexandria database.

Cell and atoms, written as CIF:
```
data_CsTlPb3
_cell_length_a 6.072
_cell_length_b 6.072
_cell_length_c 6.072
_cell_angle_alpha 90.00
_cell_angle_beta 90.00
_cell_angle_gamma 90.00
_space_group_name_H-M_alt 'P 1'
_space_group_IT_number 1
loop_
_space_group_symop_operation_xyz
'x,y,z'
loop_
_atom_site_label
_atom_site_type_symbol
_atom_site_fract_x
_atom_site_fract_y
_atom_site_fract_z
_atom_site_occupancy
Cs1 Cs 0.000 0.000 0.000 1
Tl1 Tl 0.500 0.500 0.500 1
Pb1 Pb 0.000 0.500 0.500 1
Pb2 Pb 0.500 0.000 0.500 1
Pb3 Pb 0.500 0.500 0.000 1
```

The energy above the most stable polymorph in this dataset comes out at 356 meV/atom.